1.
La2AgAu | PBEsol | relaxed

Calculated values
- distance to the lowest polymorph of the same formula (eV/atom) = 0.023

a = 3.7725 Å, b = 5.2331 Å, c = 5.2331 Å
α = 90.00°, β = 90.00°, γ = 90.00°
Element x y z (fractional)
Ag: 0.5000 0.5000 0.5000
La: 0.0000 0.0000 0.5000
La: 0.0000 0.5000 0.0000
Au: 0.5000 0.0000 0.0000

2.
LaTiAg2Au | PBEsol | relaxed

Calculated values
- DFT total energy (eV/atom) = -4.003

a = 4.8482 Å, b = 4.8482 Å, c = 5.3713 Å
α = 90.00°, β = 90.00°, γ = 90.00°
Element x y z (fractional)
Ti: 0.0000 0.0000 0.0000
Ag: 0.0000 0.5000 0.0000
Ag: 0.5000 0.0000 0.0000
La: 0.0000 0.0000 0.5000
Au: 0.5000 0.5000 0.5000

3.
LiAg2Au | PBEsol | relaxed

Calculated values
- DFT total energy (eV/atom) = -3.326

a = 4.4960 Å, b = 4.4960 Å, c = 4.4960 Å
α = 60.00°, β = 60.00°, γ = 60.00°
Element x y z (fractional)
Ag: 0.0000 0.0000 0.0000
Ag: 0.7500 0.7500 0.7500
Au: 0.5000 0.5000 0.5000
Li: 0.2500 0.2500 0.2500

4.
LiAg2Au | PBEsol | relaxed

Calculated values
- DFT total energy (eV/atom) = -3.365

a = 3.9872 Å, b = 3.9872 Å, c = 3.9888 Å
α = 90.00°, β = 90.00°, γ = 90.00°
Element x y z (fractional)
Au: 0.5000 0.5000 0.5000
Li: 0.0000 0.0000 0.5000
Ag: 0.5000 0.0000 0.0000
Ag: 0.0000 0.5000 0.0000

5.
LiAgAu | PBEsol | relaxed

Calculated values
- distance to the lowest polymorph of the same formula (eV/atom) = 0.004

a = 2.7815 Å, b = 4.4125 Å, c = 4.4125 Å
α = 120.00°, β = 90.00°, γ = 90.00°
Element x y z (fractional)
Au: 0.6098 0.3333 0.6667
Li: 0.3356 0.6667 0.3333
Ag: 0.0545 0.0000 0.0000

6.
LiAg2Au | PBEsol | relaxed

Calculated values
- DFT total energy (eV/atom) = -3.365

a = 3.9809 Å, b = 3.9809 Å, c = 4.9075 Å
α = 113.93°, β = 113.93°, γ = 90.00°
Element x y z (fractional)
Au: 0.5000 0.5000 0.0000
Li: 0.7500 0.2500 0.5000
Ag: 0.0000 0.0000 0.0000
Ag: 0.2500 0.7500 0.5000

7.
LiAg2Au | PBEsol | relaxed

Calculated values
- DFT total energy (eV/atom) = -3.307

a = 3.0376 Å, b = 3.0376 Å, c = 6.7582 Å
α = 90.00°, β = 90.00°, γ = 90.00°
Element x y z (fractional)
Li: 0.5000 0.5000 0.7429
Au: 0.0000 0.0000 0.5276
Ag: 0.0000 0.0000 0.9793
Ag: 0.5000 0.5000 0.2502

8.
LiAgAu | PBEsol | relaxed

Calculated values
- distance to the lowest polymorph of the same formula (eV/atom) = 0.049

a = 2.8318 Å, b = 2.8318 Å, c = 6.1458 Å
α = 103.16°, β = 103.16°, γ = 90.47°
Element x y z (fractional)
Li: 0.6713 0.6713 0.3423
Ag: 0.0051 0.0051 0.0100
Au: 0.3236 0.3236 0.6476

9.
LiAg2Au | PBEsol | relaxed

Calculated values
- DFT total energy (eV/atom) = -3.318

a = 2.8070 Å, b = 4.1060 Å, c = 5.5917 Å
α = 90.00°, β = 90.00°, γ = 90.00°
Element x y z (fractional)
Au: 0.5000 0.5000 0.0000
Ag: 0.0000 0.0000 0.2552
Ag: 0.0000 0.0000 0.7448
Li: 0.5000 0.5000 0.5000

10.
LiAg2Au | PBEsol | relaxed

Calculated values
- DFT total energy (eV/atom) = -3.317

a = 2.7696 Å, b = 4.2799 Å, c = 5.6848 Å
α = 90.00°, β = 108.50°, γ = 90.00°
Element x y z (fractional)
Ag: 0.1879 0.0000 0.2590
Ag: 0.8121 0.0000 0.7410
Li: 0.0000 0.5000 0.5000
Au: 0.5000 0.5000 0.0000

11.
LiAg2Au | PBEsol | relaxed

Calculated values
- DFT total energy (eV/atom) = -3.308

a = 2.7904 Å, b = 4.9214 Å, c = 5.4742 Å
α = 115.79°, β = 103.26°, γ = 93.26°
Element x y z (fractional)
Ag: 0.5000 0.5000 0.5000
Ag: 0.0000 0.0000 0.5000
Au: 0.5000 0.0000 0.0000
Li: 0.0000 0.5000 0.0000

12.
LiAg2Au | PBEsol | relaxed

Calculated values
- DFT total energy (eV/atom) = -3.326

a = 2.8486 Å, b = 4.8789 Å, c = 4.9124 Å
α = 98.99°, β = 90.00°, γ = 106.97°
Element x y z (fractional)
Ag: 0.7510 0.5021 0.2477
Ag: 0.0015 0.0030 0.0024
Au: 0.5007 0.0014 0.5092
Li: 0.2468 0.4936 0.7407

13.
LiAg2Au2 | PBEsol | relaxed

Calculated values
- DFT total energy (eV/atom) = -3.314

a = 3.7999 Å, b = 3.7999 Å, c = 7.1700 Å
α = 105.37°, β = 105.37°, γ = 90.00°
Element x y z (fractional)
Au: 0.5977 0.5977 0.1954
Au: 0.4023 0.4023 0.8046
Ag: 0.7500 0.2500 0.5000
Ag: 0.2500 0.7500 0.5000
Li: 0.0000 0.0000 0.0000

14.
LiAg4Au | PBEsol | relaxed

Calculated values
- DFT total energy (eV/atom) = -3.168

a = 5.3429 Å, b = 5.3429 Å, c = 5.3429 Å
α = 60.00°, β = 60.00°, γ = 60.00°
Element x y z (fractional)
Ag: 0.3750 0.8749 0.3750
Ag: 0.3750 0.3750 0.8749
Ag: 0.3750 0.3750 0.3750
Ag: 0.8749 0.3750 0.3750
Li: 0.0000 0.0000 0.0000
Au: 0.7500 0.7500 0.7500

15.
Li3AgAu | PBEsol | relaxed

Calculated values
- DFT total energy (eV/atom) = -2.559

a = 4.7260 Å, b = 4.7260 Å, c = 4.7260 Å
α = 90.00°, β = 90.00°, γ = 90.00°
Element x y z (fractional)
Ag: 0.5000 0.5000 0.5000
Au: 0.0000 0.0000 0.0000
Li: 0.0000 0.5000 0.0000
Li: 0.0000 0.0000 0.5000
Li: 0.5000 0.0000 0.0000

16.
LiAg2Au | PBEsol | relaxed

Calculated values
- DFT total energy (eV/atom) = -3.366

a = 3.9701 Å, b = 3.9701 Å, c = 4.9285 Å
α = 113.75°, β = 113.75°, γ = 90.00°
Element x y z (fractional)
Ag: 0.7500 0.2500 0.5000
Ag: 0.2500 0.7500 0.5000
Li: 0.5000 0.5000 0.0000
Au: 0.0000 0.0000 0.0000

17.
LiAg2Au | PBEsol | relaxed

Calculated values
- DFT total energy (eV/atom) = -3.343

a = 2.8179 Å, b = 4.0117 Å, c = 5.6617 Å
α = 90.00°, β = 90.00°, γ = 90.00°
Element x y z (fractional)
Ag: 0.5000 0.5000 0.2483
Ag: 0.0000 0.0000 0.9987
Li: 0.5000 0.5000 0.7411
Au: 0.0000 0.0000 0.5119

18.
LiAgAu | PBEsol | relaxed

Calculated values
- distance to the lowest polymorph of the same formula (eV/atom) = 0.000

a = 2.8023 Å, b = 3.9764 Å, c = 4.8937 Å
α = 113.97°, β = 106.64°, γ = 90.00°
Element x y z (fractional)
Li: 0.3300 0.3300 0.6601
Ag: 0.9987 0.9987 0.9974
Au: 0.6712 0.6712 0.3425

19.
LiAg2Au | PBEsol | relaxed

Calculated values
- DFT total energy (eV/atom) = -3.309

a = 2.8403 Å, b = 4.9194 Å, c = 4.9194 Å
α = 110.00°, β = 90.00°, γ = 90.00°
Element x y z (fractional)
Li: 0.5000 0.5000 0.5000
Au: 0.5000 0.0000 0.0000
Ag: 0.0000 0.5000 0.0000
Ag: 0.0000 0.0000 0.5000

20.
Li2ReAgAu | PBEsol | relaxed

Calculated values
- DFT total energy (eV/atom) = -3.565

a = 4.7328 Å, b = 4.7328 Å, c = 4.8218 Å
α = 90.00°, β = 90.00°, γ = 90.00°
Element x y z (fractional)
Ag: 0.5000 0.5000 0.5000
Au: 0.0000 0.0000 0.5000
Re: 0.0000 0.0000 0.0000
Li: 0.5000 0.0000 0.0000
Li: 0.0000 0.5000 0.0000

no.,V (Å³/atom),magnetization (μB per cell)
1,25.8,0.000
2,25.3,0.752
3,16.1,0.000
4,15.9,0.000
5,15.6,0.000
6,15.9,0.000
7,15.6,0.000
8,15.5,0.000
9,16.1,0.000
10,16.0,0.000
11,16.2,0.000
12,16.1,0.000
13,19.2,0.000
14,18.0,0.000
15,21.1,0.001
16,16.0,0.000
17,16.0,0.000
18,15.8,0.000
19,16.1,0.000
20,21.6,1.003